Record 1
The following is a PBE calculation of crystalline YHo4Ru5 at its relaxed geometry, from Alexandria via LeMat-Bulk.

Unit cell a=3.392 b=3.392 c=16.924 alpha=90.00 beta=90.00 gamma=90.00
Space group P4/mmm (No. 123)
One atom of each set of equivalent atoms:
Y (0.000, 0.000, 0.000) (multiplicity 1)
Ho (0.000, 0.000, 0.201) (multiplicity 2)
Ho (0.000, 0.000, 0.400) (multiplicity 2)
Ru (0.500, 0.500, 0.102) (multiplicity 2)
Ru (0.500, 0.500, 0.301) (multiplicity 2)
Ru (0.500, 0.500, 0.500) (multiplicity 1)

Energy: -0.548 Ry per atom
E_form: -0.336 eV/atom

***

Record 2
The following is a PBE calculation of crystalline Y2Ho2Ru at its relaxed geometry, from Alexandria via LeMat-Bulk.

Unit cell a=7.342 b=11.882 c=7.303 alpha=90.00 beta=115.59 gamma=90.00
Space group C2/m (No. 12)
One atom of each set of equivalent atoms:
Y (0.048, 0.223, 0.253) (multiplicity 8)
Ho (0.229, 0.500, 0.896) (multiplicity 4)
Ho (0.244, 0.000, 0.599) (multiplicity 4)
Ru (0.000, 0.375, 0.500) (multiplicity 4)

Energy: -0.473 Ry per atom
E_form: -0.169 eV/atom

***

Record 3
The following is a PBE calculation of crystalline YHo7Ru2 at its relaxed geometry, from Alexandria via LeMat-Bulk.

Unit cell a=8.696 b=13.726 c=5.361 alpha=90.00 beta=90.00 gamma=90.00
Space group Cmmm (No. 65)
One atom of each set of equivalent atoms:
Y (0.000, 0.000, 0.000) (multiplicity 2)
Ho (0.000, 0.294, 0.000) (multiplicity 4)
Ho (0.000, 0.500, 0.500) (multiplicity 2)
Ho (0.192, 0.135, 0.500) (multiplicity 8)
Ru (0.000, 0.296, 0.500) (multiplicity 4)

Energy: -0.421 Ry per atom
E_form: -0.017 eV/atom

***

Record 4
The following is a PBE calculation of crystalline YHoRu2 at its relaxed geometry, from Alexandria via LeMat-Bulk.

Unit cell a=6.795 b=6.795 c=6.795 alpha=90.00 beta=90.00 gamma=90.00
Space group Fm-3m (No. 225)
One atom of each set of equivalent atoms:
Y (0.000, 0.000, 0.000) (multiplicity 4)
Ho (0.000, 0.000, 0.500) (multiplicity 4)
Ru (0.250, 0.250, 0.250) (multiplicity 8)

Energy: -0.567 Ry per atom
E_form: -0.313 eV/atom

***

Record 5
The following is a PBE calculation of crystalline YHo2Ru3 at its relaxed geometry, from Alexandria via LeMat-Bulk.

Unit cell a=3.399 b=3.399 c=10.133 alpha=90.00 beta=90.00 gamma=90.00
Space group P4/mmm (No. 123)
One atom of each set of equivalent atoms:
Y (0.000, 0.000, 0.000) (multiplicity 1)
Ho (0.000, 0.000, 0.334) (multiplicity 2)
Ru (0.500, 0.500, 0.170) (multiplicity 2)
Ru (0.500, 0.500, 0.500) (multiplicity 1)

Energy above the lowest structure with this stoichiometry: 0 meV/atom
Energy: -0.556 Ry per atom
E_form: -0.330 eV/atom

***

Record 6
The following is a PBE calculation of crystalline YHo3Ru2 at its relaxed geometry, from Alexandria via LeMat-Bulk.

Unit cell a=6.699 b=13.460 c=6.997 alpha=90.00 beta=90.00 gamma=90.00
Space group Ibam (No. 72)
One atom of each set of equivalent atoms:
Y (0.000, 0.000, 0.000) (multiplicity 4)
Ho (0.000, 0.236, 0.250) (multiplicity 8)
Ho (0.000, 0.500, 0.250) (multiplicity 4)
Ru (0.220, 0.365, 0.000) (multiplicity 8)

Energy above the lowest structure with this stoichiometry: 114 meV/atom
Energy: -0.492 Ry per atom
E_form: -0.240 eV/atom

***

Record 7
The following is a PBE calculation of crystalline Y5HoRu6 at its relaxed geometry, from Alexandria via LeMat-Bulk.

Unit cell a=4.824 b=6.827 c=14.400 alpha=90.00 beta=90.00 gamma=90.00
Space group Immm (No. 71)
One atom of each set of equivalent atoms:
Y (0.000, 0.000, 0.000) (multiplicity 2)
Y (0.000, 0.000, 0.333) (multiplicity 4)
Y (0.000, 0.500, 0.334) (multiplicity 4)
Ho (0.000, 0.500, 0.000) (multiplicity 2)
Ru (0.000, 0.247, 0.500) (multiplicity 4)
Ru (0.000, 0.251, 0.166) (multiplicity 8)

Energy: -0.588 Ry per atom
E_form: -0.286 eV/atom

***

Record 8
The following is a PBE calculation of crystalline YHo4Ru2 at its relaxed geometry, from Alexandria via LeMat-Bulk.

Unit cell a=7.735 b=6.312 c=7.893 alpha=90.00 beta=112.51 gamma=90.00
Space group P2_1/m (No. 11)
One atom of each set of equivalent atoms:
Y (0.023, 0.250, 0.164) (multiplicity 2)
Ho (0.243, 0.501, 0.585) (multiplicity 4)
Ho (0.325, 0.750, 0.249) (multiplicity 2)
Ho (0.378, 0.250, 0.020) (multiplicity 2)
Ru (0.022, 0.250, 0.741) (multiplicity 2)
Ru (0.415, 0.250, 0.375) (multiplicity 2)

Energy: -0.474 Ry per atom
E_form: -0.266 eV/atom

***

Record 9
The following is a PBE calculation of crystalline Y2Ho5Ru5 at its relaxed geometry, from Alexandria via LeMat-Bulk.

Unit cell a=8.325 b=4.804 c=13.624 alpha=90.00 beta=101.68 gamma=90.00
Space group C2/m (No. 12)
One atom of each set of equivalent atoms:
Y (0.072, 0.000, 0.216) (multiplicity 4)
Ho (0.000, 0.500, 0.500) (multiplicity 2)
Ho (0.190, 0.500, 0.071) (multiplicity 4)
Ho (0.214, 0.000, 0.644) (multiplicity 4)
Ru (0.000, 0.000, 0.000) (multiplicity 2)
Ru (0.117, 0.500, 0.851) (multiplicity 4)
Ru (0.145, 0.000, 0.436) (multiplicity 4)

Energy: -0.520 Ry per atom
E_form: -0.226 eV/atom

***

Record 10
The following is a PBE calculation of crystalline Ho2Zn3Ru2 at its relaxed geometry, from Alexandria via LeMat-Bulk.

Unit cell a=10.064 b=4.330 c=6.328 alpha=90.00 beta=105.78 gamma=90.00
Space group C2/m (No. 12)
One atom of each set of equivalent atoms:
Ho (0.120, 0.000, 0.348) (multiplicity 4)
Zn (0.000, 0.500, 0.000) (multiplicity 2)
Zn (0.207, 0.000, 0.878) (multiplicity 4)
Ru (0.091, 0.500, 0.671) (multiplicity 4)

Energy: -0.353 Ry per atom
E_form: -0.305 eV/atom

***

Record 11
The following is a PBE calculation of crystalline Ho4ZnRu2 at its relaxed geometry, from Alexandria via LeMat-Bulk.

Unit cell a=4.827 b=4.827 c=6.823 alpha=90.00 beta=90.00 gamma=90.00
Space group P4/mmm (No. 123)
One atom of each set of equivalent atoms:
Ho (0.000, 0.500, 0.246) (multiplicity 4)
Zn (0.000, 0.000, 0.500) (multiplicity 1)
Ru (0.000, 0.000, 0.000) (multiplicity 1)
Ru (0.500, 0.500, 0.500) (multiplicity 1)

Energy above the lowest structure with this stoichiometry: 0 meV/atom
Energy: -0.426 Ry per atom
E_form: -0.351 eV/atom

***

Record 12
The following is a PBE calculation of crystalline HoZn4Ru at its relaxed geometry, from Alexandria via LeMat-Bulk.

Unit cell a=7.230 b=7.230 c=7.230 alpha=90.00 beta=90.00 gamma=90.00
Space group F-43m (No. 216)
One atom of each set of equivalent atoms:
Ho (0.000, 0.000, 0.000) (multiplicity 4)
Zn (0.124, 0.124, 0.624) (multiplicity 16)
Ru (0.250, 0.250, 0.250) (multiplicity 4)

Energy: -0.254 Ry per atom
E_form: -0.295 eV/atom